[1]
Here is crystalline La3Pr8Y3 at its relaxed geometry from Alexandria via LeMat-Bulk. Energies are from PBE.

Computed properties:
Calculated formation energy = 0.105 eV per atom
Space-group type = Immm (71)
N(E_F) = 18.17 states/eV/f.u.
VASP energy = -5.07 eV/atom

Cell lengths 10.0158, 10.0158, 10.0158 Å; angles 146.39, 113.16, 76.93 degrees
Last column: nearest neighbours and their distance in Å.
Sites, in units of the cell vectors:
La 0.0000 0.0000 0.0000  2 La 3.40, 8 Pr 3.78
La 0.3080 0.0000 0.3080  1 La 3.40, 4 Y 3.59, 4 Pr 3.69
La 0.6920 0.0000 0.6920  1 La 3.40, 4 Y 3.59, 4 Pr 3.69
Pr 0.0595 0.3959 0.6636  5 Pr 3.27-3.61
Pr 0.0679 0.2251 0.8428  6 Pr 3.33-3.63, 2 Y 3.66
Pr 0.2677 0.6041 0.6636  5 Pr 3.27-3.61
Pr 0.3822 0.2251 0.1572  6 Pr 3.33-3.63, 2 Y 3.66
Pr 0.6178 0.7749 0.8428  6 Pr 3.33-3.63, 2 Y 3.66
Pr 0.7323 0.3959 0.3364  5 Pr 3.27-3.61
Pr 0.9321 0.7749 0.1572  6 Pr 3.33-3.63, 2 Y 3.66
Pr 0.9405 0.6041 0.3364  5 Pr 3.27-3.61
Y 0.3155 0.8155 0.5000  2 La 3.59, 8 Pr 3.66-3.84
Y 0.5000 0.5000 0.0000  4 La 3.59
Y 0.6845 0.1845 0.5000  2 La 3.59, 8 Pr 3.66-3.84


[2]
Here is crystalline LaPr5Y4 at its relaxed geometry from Alexandria via LeMat-Bulk. Energies are from PBE.

Computed properties:
Calculated formation energy = 0.143 eV per atom
Space-group type = C2/m (12)
N(E_F) = 18.04 states/eV/f.u.
VASP energy = -5.33 eV/atom

Cell lengths 14.4921, 14.4921, 6.9667 Å; angles 97.18, 97.18, 14.00 degrees
Last column: nearest neighbours and their distance in Å.
Sites, in units of the cell vectors:
La 0.0000 0.0000 0.0000  2 Pr 3.48, 6 Y 3.53-3.68, 2 La 3.53
Pr 0.0000 0.0000 0.5000  2 La 3.48, 2 Pr 3.53, 6 Y 3.55-3.65
Pr 0.2951 0.2951 0.8967  8 Pr 3.47-3.67, 3 Y 3.63-3.69
Pr 0.2997 0.2997 0.4018  3 Y 3.45-3.65, 8 Pr 3.47-3.76
Pr 0.7003 0.7003 0.5982  3 Y 3.45-3.65, 8 Pr 3.47-3.76
Pr 0.7049 0.7049 0.1033  8 Pr 3.47-3.67, 3 Y 3.63-3.69
Y 0.1080 0.1080 0.8092  1 La 3.53, 6 Y 3.53-3.94, 5 Pr 3.55-3.69
Y 0.4056 0.4056 0.6962  4 Pr 3.45-3.65, 2 Y 3.53, 2 La 3.68
Y 0.5944 0.5944 0.3038  4 Pr 3.45-3.65, 2 Y 3.53, 2 La 3.68
Y 0.8920 0.8920 0.1908  1 La 3.53, 6 Y 3.53-3.94, 5 Pr 3.55-3.69


[3]
Here is crystalline LaPr2Y7 at its relaxed geometry from Alexandria via LeMat-Bulk. Energies are from PBE.

Computed properties:
Calculated formation energy = 0.018 eV per atom
Space-group type = P-1 (2)
N(E_F) = 14.40 states/eV/f.u.
VASP energy = -5.96 eV/atom

Cell lengths 6.2319, 7.2251, 8.1187 Å; angles 76.84, 75.13, 73.88 degrees
Last column: nearest neighbours and their distance in Å.
Sites, in units of the cell vectors:
La 0.0000 0.0000 0.0000  10 Y 3.60-3.63, 2 Pr 3.65
Pr 0.2010 0.7971 0.6007  10 Y 3.59-3.65, 1 La 3.65, 1 Pr 3.66
Pr 0.7990 0.2029 0.3993  10 Y 3.59-3.65, 1 La 3.65, 1 Pr 3.66
Y 0.0000 0.5000 0.0000  2 Pr 3.60, 8 Y 3.60-3.63, 2 La 3.61
Y 0.1990 0.3010 0.6002  4 Pr 3.59-3.64, 7 Y 3.61-3.64, 1 La 3.61
Y 0.4000 0.1005 0.1998  7 Y 3.60-3.64, 3 Pr 3.60-3.62, 2 La 3.60-3.61
Y 0.4014 0.5983 0.1993  9 Y 3.60-3.63, 2 Pr 3.60-3.65, 1 La 3.63
Y 0.5986 0.4017 0.8007  9 Y 3.60-3.63, 2 Pr 3.60-3.65, 1 La 3.63
Y 0.6000 0.8995 0.8002  7 Y 3.60-3.64, 3 Pr 3.60-3.62, 2 La 3.60-3.61
Y 0.8010 0.6990 0.3998  4 Pr 3.59-3.64, 7 Y 3.61-3.64, 1 La 3.61


[4]
Here is crystalline La2Pr5Y at its relaxed geometry from Alexandria via LeMat-Bulk. Energies are from PBE.

Computed properties:
Calculated formation energy = 0.116 eV per atom
Space-group type = Cmcm (63)
N(E_F) = 12.01 states/eV/f.u.
VASP energy = -4.91 eV/atom

Cell lengths 6.7391, 6.7391, 16.6447 Å; angles 90.00, 90.00, 129.02 degrees
Last column: nearest neighbours and their distance in Å.
Sites, in units of the cell vectors:
La 0.2229 0.7771 0.6308  5 Pr 3.43-3.68, 2 Y 3.52
La 0.2229 0.7771 0.8692  5 Pr 3.43-3.68, 2 Y 3.52
La 0.7771 0.2229 0.1308  5 Pr 3.43-3.68, 2 Y 3.52
La 0.7771 0.2229 0.3692  5 Pr 3.43-3.68, 2 Y 3.52
Pr 0.0750 0.9250 0.0925  1 Y 3.42, 6 Pr 3.58-3.80, 1 La 3.68
Pr 0.0750 0.9250 0.4075  1 Y 3.42, 6 Pr 3.58-3.80, 1 La 3.68
Pr 0.3808 0.6192 0.0513  1 Pr 3.37, 3 La 3.43-3.59, 1 Y 3.64
Pr 0.3808 0.6192 0.4487  1 Pr 3.37, 3 La 3.43-3.59, 1 Y 3.64
Pr 0.4647 0.5353 0.7500  1 Y 3.40, 2 La 3.55, 2 Pr 3.80
Pr 0.5353 0.4647 0.2500  1 Y 3.40, 2 La 3.55, 2 Pr 3.80
Pr 0.6192 0.3808 0.5513  1 Pr 3.37, 3 La 3.43-3.59, 1 Y 3.64
Pr 0.6192 0.3808 0.9487  1 Pr 3.37, 3 La 3.43-3.59, 1 Y 3.64
Pr 0.9250 0.0750 0.5925  1 Y 3.42, 6 Pr 3.58-3.80, 1 La 3.68
Pr 0.9250 0.0750 0.9075  1 Y 3.42, 6 Pr 3.58-3.80, 1 La 3.68
Y 0.2559 0.7441 0.2500  5 Pr 3.40-3.64, 4 La 3.52
Y 0.7441 0.2559 0.7500  5 Pr 3.40-3.64, 4 La 3.52


[5]
Here is crystalline La12Pr2Y5 at its relaxed geometry from Alexandria via LeMat-Bulk. Energies are from PBE.

Computed properties:
Calculated formation energy = 0.113 eV per atom
Space-group type = C2/m (12)
N(E_F) = 36.27 states/eV/f.u.
VASP energy = -5.20 eV/atom

Cell lengths 12.2259, 12.2259, 5.8602 Å; angles 103.63, 103.63, 53.79 degrees
Last column: nearest neighbours and their distance in Å.
Sites, in units of the cell vectors:
La 0.0235 0.5825 0.7961  6 La 3.48-3.83, 3 Y 3.51-3.69
La 0.0795 0.0795 0.1299  5 La 3.40-3.62, 2 Pr 3.71
La 0.1255 0.7046 0.3915  2 Pr 3.45-3.69, 3 Y 3.51-3.85, 4 La 3.59-3.83
La 0.2954 0.8745 0.6085  2 Pr 3.45-3.69, 3 Y 3.51-3.85, 4 La 3.59-3.83
La 0.3794 0.3794 0.9433  2 Y 3.19-3.25, 2 Pr 3.40, 2 La 3.51
La 0.4175 0.9765 0.2039  6 La 3.48-3.83, 3 Y 3.51-3.69
La 0.5825 0.0235 0.7961  6 La 3.48-3.83, 3 Y 3.51-3.69
La 0.6206 0.6206 0.0567  2 Y 3.19-3.25, 2 Pr 3.40, 2 La 3.51
La 0.7046 0.1255 0.3915  2 Pr 3.45-3.69, 3 Y 3.51-3.85, 4 La 3.59-3.83
La 0.8745 0.2954 0.6085  2 Pr 3.45-3.69, 3 Y 3.51-3.85, 4 La 3.59-3.83
La 0.9205 0.9205 0.8701  5 La 3.40-3.62, 2 Pr 3.71
La 0.9765 0.4175 0.2039  6 La 3.48-3.83, 3 Y 3.51-3.69
Pr 0.2985 0.7015 0.0000  8 La 3.40-3.71, 2 Y 3.68
Pr 0.7015 0.2985 0.0000  8 La 3.40-3.71, 2 Y 3.68
Y 0.2095 0.2095 0.7451  7 La 3.51-3.69, 2 Y 3.57-3.81
Y 0.3162 0.3162 0.3759  4 La 3.19-3.51, 1 Y 3.57
Y 0.5000 0.5000 0.5000  6 La 3.61-3.67, 4 Pr 3.68, 2 Y 3.88
Y 0.6838 0.6838 0.6241  4 La 3.19-3.51, 1 Y 3.57
Y 0.7905 0.7905 0.2549  7 La 3.51-3.69, 2 Y 3.57-3.81


[6]
Here is crystalline La2Pr8Y at its relaxed geometry from Alexandria via LeMat-Bulk. Energies are from PBE.

Computed properties:
Calculated formation energy = 0.012 eV per atom
Space-group type = C2/m (12)
N(E_F) = 18.94 states/eV/f.u.
VASP energy = -4.95 eV/atom

Cell lengths 9.8023, 9.8023, 8.2835 Å; angles 104.64, 104.64, 31.09 degrees
Last column: nearest neighbours and their distance in Å.
Sites, in units of the cell vectors:
La 0.2271 0.2271 0.1361  2 La 3.71, 10 Pr 3.71-3.73
La 0.7729 0.7729 0.8639  2 La 3.71, 10 Pr 3.71-3.73
Pr 0.0449 0.0449 0.2285  9 Pr 3.68-3.73, 2 Y 3.70, 1 La 3.71
Pr 0.1357 0.1357 0.6790  7 Pr 3.68-3.72, 2 Y 3.70, 3 La 3.73
Pr 0.3191 0.3191 0.5918  1 Y 3.69, 8 Pr 3.70-3.74, 3 La 3.71-3.72
Pr 0.4099 0.4099 0.0479  1 Y 3.68, 8 Pr 3.69-3.73, 3 La 3.71-3.72
Pr 0.5901 0.5901 0.9521  1 Y 3.68, 8 Pr 3.69-3.73, 3 La 3.71-3.72
Pr 0.6809 0.6809 0.4082  1 Y 3.69, 8 Pr 3.70-3.74, 3 La 3.71-3.72
Pr 0.8643 0.8643 0.3210  7 Pr 3.68-3.72, 2 Y 3.70, 3 La 3.73
Pr 0.9551 0.9551 0.7715  9 Pr 3.68-3.73, 2 Y 3.70, 1 La 3.71
Y 0.5000 0.5000 0.5000  12 Pr 3.68-3.70


> Which formula does entry 2 have?

LaPr5Y4


> Look up the VASP energy of the second one.

-5.33 eV/atom